Model A:
# Cs3K2Rb5

Crystalline Cs3K2Rb5 at its relaxed geometry (PBE-GGA, Alexandria).

The calculation puts the total moment at 0.00 μB per cell. The value obtained for the density of states at the Fermi level is 0.988 states/eV per atom.

It has space group P4/mbm (No. 127), with a = 16.1869 Å, b = 16.1869 Å, c = 7.4575 Å, α = 90.00°, β = 90.00° and γ = 90.00°. The asymmetric unit holds Cs at (0.0000, 0.0000, 0.0000), Cs at (0.1769, 0.3231, 0.0000), K at (0.1168, 0.6168, 0.0000), Rb at (0.0000, 0.5000, 0.5000) and Rb at (0.0739, 0.7957, 0.5000).

Model B:
# Cs3K2Rb5

Crystalline Cs3K2Rb5 at its relaxed geometry (PBE-GGA, Alexandria).

The calculation puts the total moment at 0.00 μB per cell. The value obtained for the density of states at the Fermi level is 0.839 states/eV per atom.

It has space group Ibam (No. 72), with a = 18.2191 Å, b = 23.8328 Å, c = 9.1269 Å, α = 90.00°, β = 90.00° and γ = 90.00°. The asymmetric unit holds Cs at (0.0000, 0.0000, 0.2500), Cs at (0.0948, 0.1943, 0.0000), K at (0.2102, 0.1625, 0.5000), Rb at (0.0000, 0.5000, 0.2500), Rb at (0.1133, 0.3384, 0.5000) and Rb at (0.2462, 0.5000, 0.2500).

Energy ordering: model A at the bottom, the next structure 31 meV per atom above.

Model A:
# Cs2K8Rb

Crystalline Cs2K8Rb at its relaxed geometry (PBE-GGA, Alexandria).

The calculation puts the total moment at 0.00 μB per cell. The value obtained for the density of states at the Fermi level is 0.885 states/eV per atom.

It has space group C2/m (No. 12), with a = 27.1303 Å, b = 8.8075 Å, c = 7.8667 Å, α = 90.00°, β = 99.67° and γ = 90.00°. The asymmetric unit holds Cs at (0.2378, 0.0000, 0.3344), K at (0.0799, 0.0000, 0.9978), K at (0.0850, 0.2549, 0.5195), K at (0.1647, 0.5000, 0.0832) and Rb at (0.0000, 0.5000, 0.0000).

Model B:
# Cs2K8Rb

Crystalline Cs2K8Rb at its relaxed geometry (PBE-GGA, Alexandria).

The calculation puts the total moment at 0.00 μB per cell. The value obtained for the density of states at the Fermi level is 0.747 states/eV per atom.

It has space group C2/m (No. 12), with a = 23.3417 Å, b = 8.8653 Å, c = 8.7638 Å, α = 90.00°, β = 91.53° and γ = 90.00°. The asymmetric unit holds Cs at (0.2022, 0.0000, 0.3725), K at (0.0839, 0.5000, 0.3933), K at (0.0879, 0.2545, 0.8987), K at (0.2421, 0.5000, 0.1178) and Rb at (0.0000, 0.0000, 0.5000).

Energy ordering: model B at the bottom, the next structure 19 meV per atom above.

Model A:
# CsK2Rb7

Crystalline CsK2Rb7 at its relaxed geometry (PBE-GGA, Alexandria).

The calculation puts the total moment at 0.00 μB per cell. The value obtained for the density of states at the Fermi level is 0.776 states/eV per atom.

It has space group Cmmm (No. 65), with a = 9.1090 Å, b = 41.3753 Å, c = 4.8351 Å, α = 90.00°, β = 90.00° and γ = 90.00°. The asymmetric unit holds Cs at (0.0000, 0.0000, 0.0000), K at (0.0000, 0.2962, 0.5000), Rb at (0.0000, 0.1977, 0.0000), Rb at (0.0000, 0.5000, 0.5000) and Rb at (0.2500, 0.1030, 0.5000).

Model B:
# CsK2Rb7

Crystalline CsK2Rb7 at its relaxed geometry (PBE-GGA, Alexandria).

The calculation puts the total moment at 0.00 μB per cell. The value obtained for the density of states at the Fermi level is 0.966 states/eV per atom.

It has space group P3m1 (No. 156), with a = 7.8896 Å, b = 7.8896 Å, c = 17.1660 Å, α = 90.00°, β = 90.00° and γ = 120.00°. The asymmetric unit holds Cs at (0.0000, 0.0000, 0.0000), K at (0.3333, 0.6667, 0.8119), K at (0.6667, 0.3333, 0.4290), Rb at (0.0000, 0.0000, 0.3319), Rb at (0.0000, 0.0000, 0.6545), Rb at (0.3333, 0.6667, 0.1591), Rb at (0.3333, 0.6667, 0.5034), Rb at (0.6667, 0.3333, 0.1834), Rb at (0.6667, 0.3333, 0.6749) and Rb at (0.6667, 0.3333, 0.9231).

Energy ordering: model A at the bottom, the next structure 14 meV per atom above.

Model A:
# Cs4KRb2

Crystalline Cs4KRb2 at its relaxed geometry (PBE-GGA, Alexandria).

The calculation puts the total moment at 0.00 μB per cell. The value obtained for the density of states at the Fermi level is 1.013 states/eV per atom.

It has space group I4/mmm (No. 139), with a = 8.4239 Å, b = 8.4239 Å, c = 24.3417 Å, α = 90.00°, β = 90.00° and γ = 90.00°. The asymmetric unit holds Cs at (0.0000, 0.0000, 0.1887), Cs at (0.0000, 0.5000, 0.0000), K at (0.0000, 0.0000, 0.0000) and Rb at (0.0000, 0.0000, 0.3866).

Model B:
# Cs4KRb2

Crystalline Cs4KRb2 at its relaxed geometry (PBE-GGA, Alexandria).

The calculation puts the total moment at 0.00 μB per cell. The value obtained for the density of states at the Fermi level is 1.095 states/eV per atom.

It has space group R-3m (No. 166, hexagonal axes), with a = 8.2753 Å, b = 8.2753 Å, c = 35.5013 Å, α = 90.00°, β = 90.00° and γ = 120.00°. The asymmetric unit holds Cs at (0.0000, 0.0000, 0.0708), Cs at (0.0000, 0.0000, 0.2146), K at (0.0000, 0.0000, 0.5000) and Rb at (0.0000, 0.0000, 0.3597).

Energy ordering: model B at the bottom, the next structure 107 meV per atom above.

Model A:
# Cs3KRb5

Crystalline Cs3KRb5 at its relaxed geometry (PBE-GGA, Alexandria).

The calculation puts the total moment at 0.00 μB per cell. The value obtained for the density of states at the Fermi level is 1.021 states/eV per atom.

It has space group P-62m (No. 189), with a = 13.8979 Å, b = 13.8979 Å, c = 5.2218 Å, α = 90.00°, β = 90.00° and γ = 120.00°. The asymmetric unit holds Cs at (0.0000, 0.6370, 0.0000), K at (0.0000, 0.0000, 0.0000), Rb at (0.0000, 0.2933, 0.5000) and Rb at (0.3333, 0.6667, 0.5000).

Model B:
# Cs3KRb5

Crystalline Cs3KRb5 at its relaxed geometry (PBE-GGA, Alexandria).

The calculation puts the total moment at 0.00 μB per cell. The value obtained for the density of states at the Fermi level is 1.022 states/eV per atom.

It has space group P6_3/mcm (No. 193), with a = 14.3687 Å, b = 14.3687 Å, c = 9.7268 Å, α = 90.00°, β = 90.00° and γ = 120.00°. The asymmetric unit holds Cs at (0.0000, 0.3612, 0.2500), K at (0.0000, 0.0000, 0.0000), Rb at (0.0000, 0.2974, 0.7500) and Rb at (0.3333, 0.6667, 0.0000).

Energy ordering: model A at the bottom, the next structure 10 meV per atom above.

Model A:
# Cs3K2Rb

Crystalline Cs3K2Rb at its relaxed geometry (PBE-GGA, Alexandria).

The calculation puts the total moment at 0.00 μB per cell. The value obtained for the density of states at the Fermi level is 0.997 states/eV per atom.

It has space group C2/c (No. 15), with a = 12.6439 Å, b = 14.4240 Å, c = 12.7733 Å, α = 90.00°, β = 100.48° and γ = 90.00°. The asymmetric unit holds Cs at (0.0000, 0.0627, 0.2500), Cs at (0.2258, 0.4182, 0.9854), K at (0.1282, 0.2496, 0.6240) and Rb at (0.0000, 0.3853, 0.2500).

Model B:
# Cs3K2Rb

Crystalline Cs3K2Rb at its relaxed geometry (PBE-GGA, Alexandria).

The calculation puts the total moment at 0.00 μB per cell. The value obtained for the density of states at the Fermi level is 0.893 states/eV per atom.

It has space group P4/mmm (No. 123), with a = 5.6430 Å, b = 5.6430 Å, c = 17.9732 Å, α = 90.00°, β = 90.00° and γ = 90.00°. The asymmetric unit holds Cs at (0.0000, 0.0000, 0.0000), Cs at (0.0000, 0.0000, 0.3236), K at (0.5000, 0.5000, 0.1614) and Rb at (0.5000, 0.5000, 0.5000).

Energy ordering: model B at the bottom, the next structure 18 meV per atom above.

Model A:
# Cs2K4Rb

Crystalline Cs2K4Rb at its relaxed geometry (PBE-GGA, Alexandria).

The calculation puts the total moment at 0.00 μB per cell. The value obtained for the density of states at the Fermi level is 0.895 states/eV per atom.

It has space group I4/mmm (No. 139), with a = 7.7122 Å, b = 7.7122 Å, c = 24.3887 Å, α = 90.00°, β = 90.00° and γ = 90.00°. The asymmetric unit holds Cs at (0.0000, 0.0000, 0.1286), K at (0.0000, 0.0000, 0.3215), K at (0.0000, 0.5000, 0.0000) and Rb at (0.0000, 0.0000, 0.5000).

Model B:
# Cs2K4Rb

Crystalline Cs2K4Rb at its relaxed geometry (PBE-GGA, Alexandria).

The calculation puts the total moment at 0.00 μB per cell. The value obtained for the density of states at the Fermi level is 0.961 states/eV per atom.

It has space group P2/m (No. 10), with a = 11.7603 Å, b = 4.8445 Å, c = 11.8034 Å, α = 90.00°, β = 114.91° and γ = 90.00°. The asymmetric unit holds Cs at (0.0733, 0.0000, 0.3242), K at (0.2391, 0.5000, 0.0516), K at (0.3781, 0.0000, 0.7860) and Rb at (0.5000, 0.5000, 0.5000).

Energy ordering: model B at the bottom, the next structure 129 meV per atom above.

Model A:
# Cs2K5Rb3

Crystalline Cs2K5Rb3 at its relaxed geometry (PBE-GGA, Alexandria).

The calculation puts the total moment at 0.00 μB per cell. The value obtained for the density of states at the Fermi level is 0.817 states/eV per atom.

It has space group Ibam (No. 72), with a = 16.9619 Å, b = 23.9758 Å, c = 8.6758 Å, α = 90.00°, β = 90.00° and γ = 90.00°. The asymmetric unit holds Cs at (0.0943, 0.1764, 0.0000), K at (0.0000, 0.5000, 0.2500), K at (0.2414, 0.1629, 0.5000), K at (0.2462, 0.5000, 0.2500), Rb at (0.0000, 0.0000, 0.2500) and Rb at (0.0969, 0.3368, 0.5000).

Model B:
# Cs2K5Rb3

Crystalline Cs2K5Rb3 at its relaxed geometry (PBE-GGA, Alexandria).

The calculation puts the total moment at 0.00 μB per cell. The value obtained for the density of states at the Fermi level is 0.901 states/eV per atom.

It has space group Cmc2_1 (No. 36), with a = 7.4415 Å, b = 48.6423 Å, c = 9.7590 Å, α = 90.00°, β = 90.00° and γ = 90.00°. The asymmetric unit holds Cs at (0.0000, 0.0027, 0.0000), Cs at (0.0000, 0.3357, 0.4337), K at (0.0000, 0.1015, 0.0638), K at (0.0000, 0.1876, 0.2342), K at (0.0000, 0.1894, 0.6797), K at (0.0000, 0.3584, 0.9243), K at (0.0000, 0.4423, 0.2777), Rb at (0.0000, 0.0975, 0.5695), Rb at (0.0000, 0.2636, 0.9594) and Rb at (0.0000, 0.4493, 0.7691).

Energy ordering: model B at the bottom, the next structure 11 meV per atom above.